# 1
Density functional theory data (PBE-GGA) for a relaxed CaPr3Nd2Te6 crystal.

Cell lengths 10.106, 10.106, 9.075 Å; angles 103.14, 103.14, 25.70 degrees
Sites, in units of the cell vectors:
Ca  0.000  0.000  0.000
Pr  0.000  0.000  0.500
Pr  0.331  0.331  0.170
Pr  0.669  0.669  0.830
Nd  0.329  0.329  0.660
Nd  0.671  0.671  0.340
Te  0.163  0.163  0.083
Te  0.165  0.165  0.581
Te  0.499  0.499  0.756
Te  0.501  0.501  0.244
Te  0.835  0.835  0.419
Te  0.837  0.837  0.917

SG: C2/m
M_tot in μB/cell: 0.000
Formation energy without anion corrections in meV per atom: -1466
Volume in Å³/f.u.: 390.91



# 2
Density functional theory data (PBE-GGA) for a relaxed YCr3Ni crystal.

Cell lengths 4.590, 4.590, 4.590 Å; angles 90.00, 90.00, 90.00 degrees
Sites, in units of the cell vectors:
Y  0.000  0.000  0.000
Cr  0.000  0.500  0.500
Cr  0.500  0.000  0.500
Cr  0.500  0.500  0.000
Ni  0.500  0.500  0.500

SG: Pm-3m
M_tot in μB/cell: 11.105
E above lowest polymorph in eV/atom: 0.0000
DFT formation energy in eV per formula unit: 4.026
Volume in Å³/f.u.: 96.69